This record from Alexandria describes crystalline MnF3 at its relaxed geometry. The functional is GGA+U.

```
8
Lattice="-0.807 -2.718 4.402 4.840 -1.205 0.143 -1.607 4.146 2.265" Properties=species:S:1:pos:R:3 pbc="T T T"
F 0.319 -1.198 3.990
F -0.661 0.505 1.748
F 2.108 1.421 2.820
F -1.752 0.923 4.920
F 2.852 -2.899 3.403
Mn -0.403 -1.359 2.201
F 1.181 -1.024 1.141
Mn 0.000 0.000 0.000
```

Properties
Density, g/cm³: 3.3
D(E_F), states/eV/cell: 0.00
Uncorrected energy, eV per atom: -5.212
Magnetic moment, μB per formula unit: 2.0